Computed, not measured: crystalline La3Ni3Br at its relaxed geometry at the GGA-PBE level of DFT.

Total moment in μB/atom: 0.071
Total DFT energy (no corrections) in eV per cell: -75.9
V in Å³ per cell: 346
Crystal system: hexagonal
Fermi-level density of states in states/eV/f.u.: 4.907

Lattice parameters (Å, degrees): 9.7571 9.7571 4.1964 90.00 90.00 120.00
Space group P6_3/m (No. 176)
Asymmetric unit:
La (0.0811, 0.3747, 0.2500) x6
Ni (0.0296, 0.1599, 0.7500) x6
Br (0.3333, 0.6667, 0.7500) x2


Computed, not measured: crystalline LaNiBr at its relaxed geometry at the GGA-PBE level of DFT.

Total moment in μB/atom: 0.000
Total DFT energy (no corrections) in eV per cell: -94.2
V in Å³ per cell: 515
Crystal system: trigonal
Fermi-level density of states in states/eV/f.u.: 0.895

Lattice parameters (Å, degrees): 4.1816 4.1816 34.0408 90.00 90.00 120.00
Space group R-3m (No. 166, hexagonal axes)
Asymmetric unit:
La (0.0000, 0.0000, 0.0556) x6
Ni (0.0000, 0.0000, 0.3394) x6
Br (0.0000, 0.0000, 0.2201) x6


Computed, not measured: crystalline LaNiBr3 at its relaxed geometry at the GGA-PBE level of DFT.

Distance to the lowest polymorph of the same formula in meV/atom: 178
Total moment in μB/atom: 0.034
Total DFT energy (no corrections) in eV per cell: -18.6
V in Å³ per cell: 202
Crystal system: cubic
Fermi-level density of states in states/eV/f.u.: 37.518

Lattice parameters (Å, degrees): 5.868 5.868 5.868 90.00 90.00 90.00
Space group Pm-3m (No. 221)
Asymmetric unit:
La (0.000, 0.000, 0.000) x1
Ni (0.500, 0.500, 0.500) x1
Br (0.000, 0.000, 0.500) x3


Computed, not measured: crystalline LaNi3Br at its relaxed geometry at the GGA-PBE level of DFT.

Distance to the lowest polymorph of the same formula in meV/atom: 822
Total moment in μB/atom: 0.000
Total DFT energy (no corrections) in eV per cell: -18.1
V in Å³ per cell: 114
Crystal system: cubic
Fermi-level density of states in states/eV/f.u.: 0.446

Lattice parameters (Å, degrees): 4.855 4.855 4.855 90.00 90.00 90.00
Space group Pm-3m (No. 221)
Asymmetric unit:
La (0.000, 0.000, 0.000) x1
Ni (0.000, 0.000, 0.500) x3
Br (0.500, 0.500, 0.500) x1


Computed, not measured: crystalline LaNiBr at its relaxed geometry at the GGA-PBE level of DFT.

Total moment in μB/atom: 0.032
Total DFT energy (no corrections) in eV per cell: -55.1
V in Å³ per cell: 341
Crystal system: cubic

Lattice parameters (Å, degrees): 6.986 6.986 6.986 90.00 90.00 90.00
Space group F-43m (No. 216)
Asymmetric unit:
La (0.000, 0.000, 0.000) x4
Ni (0.250, 0.250, 0.250) x4
Br (0.250, 0.250, 0.750) x4


Computed, not measured: crystalline LaNi4Br at its relaxed geometry at the GGA-PBE level of DFT.

Total moment in μB/atom: 0.322
Total DFT energy (no corrections) in eV per cell: -121.1
V in Å³ per cell: 385
Crystal system: cubic
Fermi-level density of states in states/eV/f.u.: 11.836

Lattice parameters (Å, degrees): 7.273 7.273 7.273 90.00 90.00 90.00
Space group F-43m (No. 216)
Asymmetric unit:
La (0.000, 0.000, 0.000) x4
Ni (0.125, 0.125, 0.625) x16
Br (0.250, 0.250, 0.250) x4